Density functional theory data (PBE-GGA) for a relaxed Cu2SiPd crystal.

Properties
energy: -4.90 eV per atom

Unit cell a=3.9086 b=3.6419 c=3.6419 alpha=90.00 beta=90.00 gamma=90.00
Last column: nearest neighbours and their distance in Å.
Fractional positions:
Si (0.5000, 0.0000, 0.0000)  4 Pd 2.58, 8 Cu 2.67
Pd (0.5000, 0.5000, 0.5000)  4 Si 2.58, 8 Cu 2.67
Cu (0.0000, 0.0000, 0.5000)  4 Cu 2.58, 4 Si 2.67, 4 Pd 2.67
Cu (0.0000, 0.5000, 0.0000)  4 Cu 2.58, 4 Pd 2.67, 4 Si 2.67

---

Density functional theory data (PBE-GGA) for a relaxed Cr3CoNi12 crystal.

Properties
energy of formation: 0.01 eV/atom

Unit cell a=3.5413 b=3.5413 c=14.1886 alpha=90.00 beta=90.00 gamma=90.00
Last column: nearest neighbours and their distance in Å.
Fractional positions:
Ni (0.5000, 0.5000, 0.5000)  4 Cr 2.50, 8 Ni 2.51
Ni (0.5000, 0.5000, 0.0000)  8 Ni 2.49, 4 Co 2.50
Ni (0.5000, 0.0000, 0.1236)  2 Co 2.49, 8 Ni 2.49-2.51, 2 Cr 2.51
Ni (0.5000, 0.0000, 0.8764)  2 Co 2.49, 8 Ni 2.49-2.51, 2 Cr 2.51
Ni (0.0000, 0.5000, 0.8764)  2 Co 2.49, 8 Ni 2.49-2.51, 2 Cr 2.51
Ni (0.5000, 0.5000, 0.7510)  4 Cr 2.50, 8 Ni 2.51
Ni (0.0000, 0.5000, 0.6256)  8 Ni 2.50-2.51, 4 Cr 2.51
Ni (0.5000, 0.5000, 0.2490)  4 Cr 2.50, 8 Ni 2.51
Ni (0.5000, 0.0000, 0.3744)  8 Ni 2.50-2.51, 4 Cr 2.51
Ni (0.5000, 0.0000, 0.6256)  8 Ni 2.50-2.51, 4 Cr 2.51
Ni (0.0000, 0.5000, 0.3744)  8 Ni 2.50-2.51, 4 Cr 2.51
Ni (0.0000, 0.5000, 0.1236)  2 Co 2.49, 8 Ni 2.49-2.51, 2 Cr 2.51
Cr (0.0000, 0.0000, 0.5000)  12 Ni 2.50-2.51
Cr (0.0000, 0.0000, 0.2489)  12 Ni 2.50-2.51
Cr (0.0000, 0.0000, 0.7511)  12 Ni 2.50-2.51
Co (0.0000, 0.0000, 0.0000)  12 Ni 2.49-2.50

---

Question: Which formula does entry 1 have?
Answer: Cu2SiPd